{
  "formula": "Zr2WO",
  "functional": "PBE with a Hubbard U",
  "state": "optimized geometry",
  "cell": [[6.571, 0.000, 0.000], [0.000, 6.571, 0.000], [3.286, 3.286, 3.652]],
  "species": ["O", "O", "Zr", "Zr", "Zr", "Zr", "W", "W"],
  "frac_coords": [[0.500, 0.500, 0.000], [0.250, 0.750, 0.500], [0.520, 0.125, 0.250], [0.230, 0.625, 0.250], [0.375, 0.480, 0.750], [0.875, 0.770, 0.750], [0.000, 0.000, 0.000], [0.750, 0.250, 0.500]],
  "total_energy_ev_per_atom": -7.8296,
  "crystal_system": "tetragonal"
}